# TmTe2Au

Crystalline TmTe2Au at its relaxed geometry (PBE, Alexandria).

Unit cell a=7.386 b=9.053 c=9.215 alpha=121.27 beta=90.00 gamma=90.00
Positions (direct):
Au  0.841  0.449  0.387
Te  0.757  0.090  0.195
Te  0.257  0.410  0.805
Tm  0.462  0.274  0.459
Tm  0.962  0.226  0.541
Tm  0.538  0.726  0.541
Au  0.159  0.551  0.613
Tm  0.038  0.774  0.459
Te  0.275  0.444  0.284
Te  0.743  0.590  0.195
Au  0.659  0.949  0.387
Te  0.225  0.944  0.284
Te  0.775  0.056  0.716
Te  0.725  0.556  0.716
Te  0.243  0.910  0.805
Au  0.341  0.051  0.613

The value obtained for the formation energy from raw total energies is -0.84 eV/atom.